Crystalline SrMnInWO6 at its relaxed geometry. Source: Alexandria via LeMat-Bulk, functional GGA+U.

POSCAR file:
```
SrMnInWO6
1.0
0.000 4.058 4.058
4.058 0.000 4.058
4.058 4.058 0.000
Sr Mn In W O
1 1 1 1 6
Direct
0.000 0.000 0.000
0.250 0.250 0.250
0.500 0.500 0.500
0.750 0.750 0.750
0.510 0.510 0.990
0.510 0.990 0.510
0.510 0.990 0.990
0.990 0.510 0.510
0.990 0.510 0.990
0.990 0.990 0.510
```

Density of states at the Fermi level = 4.0 states/eV/f.u.
Crystal system = cubic
Raw total energy = -67.946 eV per cell